Here is a relaxed structure of PtPb2O from Alexandria via LeMat-Bulk. Energies are from GGA-PBE.

The structure in CIF format:
```
data_PtPb2O
_cell_length_a 3.931
_cell_length_b 3.962
_cell_length_c 7.288
_cell_angle_alpha 80.24
_cell_angle_beta 74.30
_cell_angle_gamma 60.44
_symmetry_space_group_name_H-M 'P 1'
_symmetry_Int_Tables_number 1
loop_
_symmetry_equiv_pos_as_xyz
'x,y,z'
loop_
_atom_site_label
_atom_site_fract_x
_atom_site_fract_y
_atom_site_fract_z
Pb1 0.671 0.157 0.641
Pb2 0.217 0.549 0.160
O1 0.841 0.155 0.311
Pt1 0.902 0.480 0.856
```

Results
For the formation energy without anion corrections, the calculation gives -0.364 eV per atom. The calculation puts the density of states at the Fermi level at 0.47 states/eV/atom. The volume comes out at 95 Å³ per cell. The magnetic moment comes out at 0.000 μB/atom.